Entry 1:
Material: Zn2HgPb
Method: DFT, PBEsol
State: optimized geometry

Properties
**E above lowest polymorph**: 0.000 eV per atom
**Symmetry**: No. 8
**DFT formation energy**: 0.117 eV/atom

a = 3.3988 Å, b = 4.5365 Å, c = 6.0220 Å
α = 101.29°, β = 90.00°, γ = 112.00°
Closest atoms and distances in Å follow each position.
Element x y z (fractional)
1 Zn 0.2562 0.5125 0.7815  3 Zn 2.60-2.62, 3 Hg 2.78-2.79
2 Pb 0.7445 0.4890 0.2258  5 Zn 2.95-3.19, 3 Hg 3.07-3.17
3 Zn 0.9870 0.9739 0.9360  3 Zn 2.60-2.62, 2 Hg 2.89
4 Hg 0.5123 0.0246 0.5567  5 Zn 2.78-2.89, 1 Pb 3.07

***

Entry 2:
Material: Cr2TePt
Method: DFT, PBEsol
State: optimized geometry

Properties
**E_form (uncorrected)**: 0.254 eV/atom
**Symmetry**: No. 123

a = 3.7903 Å, b = 3.9801 Å, c = 3.9801 Å
α = 90.00°, β = 90.00°, γ = 90.00°
Closest atoms and distances in Å follow each position.
Element x y z (fractional)
1 Pt 0.5000 0.5000 0.5000  8 Cr 2.75, 4 Te 2.81
2 Cr 0.0000 0.0000 0.5000  4 Te 2.75, 4 Pt 2.75, 4 Cr 2.81
3 Cr 0.0000 0.5000 0.0000  4 Te 2.75, 4 Pt 2.75, 4 Cr 2.81
4 Te 0.5000 0.0000 0.0000  8 Cr 2.75, 4 Pt 2.81

***

Entry 3:
Material: Ni2OsBr
Method: DFT, PBEsol
State: optimized geometry

Properties
**E_form (uncorrected)**: 0.966 eV/atom
**E above lowest polymorph**: 0.000 eV per atom
**Symmetry**: No. 47

a = 2.8504 Å, b = 4.2622 Å, c = 4.4252 Å
α = 90.00°, β = 90.00°, γ = 90.00°
Closest atoms and distances in Å follow each position.
Element x y z (fractional)
1 Os 0.5000 0.5000 0.0000  4 Ni 2.56, 4 Br 2.63, 2 Os 2.85
2 Ni 0.0000 0.0000 0.0000  4 Os 2.56, 6 Ni 2.63-2.85
3 Br 0.0000 0.5000 0.5000  4 Ni 2.56, 4 Os 2.63, 2 Br 2.85
4 Ni 0.5000 0.0000 0.5000  4 Br 2.56, 6 Ni 2.63-2.85

***

Entry 4:
Material: RbNaGe2H
Method: DFT, PBEsol
State: optimized geometry

Properties
**Symmetry**: No. 123

a = 5.0703 Å, b = 5.0703 Å, c = 6.8826 Å
α = 90.00°, β = 90.00°, γ = 90.00°
Closest atoms and distances in Å follow each position.
Element x y z (fractional)
1 Ge 0.0000 0.5000 0.0000  2 Na 2.54
2 Rb 0.0000 0.0000 0.5000  2 Na 3.44, 4 H 3.59
3 Ge 0.5000 0.0000 0.0000  2 Na 2.54
4 Na 0.0000 0.0000 0.0000  4 Ge 2.54
5 H 0.5000 0.5000 0.5000  4 Rb 3.59

***

Entry 5:
Material: MnAuO2
Method: DFT, PBEsol
State: optimized geometry

Properties
**E_form (uncorrected)**: -0.553 eV/atom
**Symmetry**: No. 122

a = 5.0250 Å, b = 5.6121 Å, c = 5.0250 Å
α = 63.40°, β = 90.00°, γ = 116.60°
Closest atoms and distances in Å follow each position.
Element x y z (fractional)
1 Mn 0.5000 0.0000 0.5000  4 O 1.85
2 Au 0.0000 0.0000 0.0000  4 O 2.38
3 O 0.3750 0.2500 0.2133  2 Mn 1.85
4 Mn 0.2500 0.5000 0.2500  4 O 1.85
5 O 0.2133 0.7500 0.8750  2 Mn 1.85
6 O 0.5367 0.7500 0.3750  2 Mn 1.85
7 O 0.8750 0.2500 0.5367  2 Mn 1.85
8 Au 0.7500 0.5000 0.7500  4 O 2.38

***

Entry 6:
Material: NaHN2
Method: DFT, PBEsol
State: optimized geometry

Properties
**E above lowest polymorph**: 0.452 eV per atom
**Symmetry**: No. 166

a = 3.0320 Å, b = 3.0320 Å, c = 5.4123 Å
α = 73.73°, β = 73.73°, γ = 60.00°
Closest atoms and distances in Å follow each position.
Element x y z (fractional)
1 Na 0.0000 0.0000 0.0000  2 N 2.28
2 N 0.8517 0.8517 0.4448  3 H 1.77, 3 N 1.84
3 H 0.5000 0.5000 0.5000  6 N 1.77
4 N 0.1483 0.1483 0.5552  3 H 1.77, 3 N 1.84

***

| no. | DFT total energy (eV/atom) |
| --- | --- |
| 1 | -1.816 |
| 2 | -7.490 |
| 3 | -5.634 |
| 4 | -2.043 |
| 5 | -6.599 |
| 6 | -3.874 |